This record from the Open Quantum Materials Database describes a geometry-optimized La3Pd structure. The functional is GGA-PBE.

Summary:
- electronic total energy (Ry per atom) = -0.39425
- symmetry = Pnma
- total magnetization (μB/atom) = 0.001

Unit cell a=8.4860 b=8.8753 c=6.5503 alpha=90.00 beta=90.00 gamma=90.00
Atoms (fractional coordinates):
1 La 0.0324 0.2500 0.1005
2 La 0.1752 0.0456 0.6208
3 La 0.1752 0.4544 0.6208
4 La 0.3248 0.5456 0.1208
5 La 0.3248 0.9544 0.1208
6 La 0.4676 0.7500 0.6005
7 La 0.5324 0.2500 0.3995
8 La 0.6752 0.0456 0.8792
9 La 0.6752 0.4544 0.8792
10 La 0.8248 0.5456 0.3792
11 La 0.8248 0.9544 0.3792
12 La 0.9676 0.7500 0.8995
13 Pd 0.1103 0.7500 0.3844
14 Pd 0.3897 0.2500 0.8844
15 Pd 0.6103 0.7500 0.1156
16 Pd 0.8897 0.2500 0.6156



This record from the Open Quantum Materials Database describes a geometry-optimized ZrScSi2 structure. The functional is GGA-PBE.

Summary:
- electronic total energy (Ry per atom) = -0.46776
- symmetry = F-43m
- relative energy among the computed polymorphs (eV/atom) = 0.9447
- total magnetization (μB/atom) = 0.025

Unit cell a=4.6457 b=4.6457 c=4.6457 alpha=60.00 beta=60.00 gamma=60.00
Atoms (fractional coordinates):
1 Zr 0.0000 0.0000 0.0000
2 Sc 0.7500 0.7500 0.7500
3 Si 0.2500 0.2500 0.2500
4 Si 0.5000 0.5000 0.5000